A geometry-optimized NdNbH4 structure. Source: the Open Quantum Materials Database, functional PBE-GGA.

abc: 3.466 3.466 5.064
angles: 90.00 90.00 90.00
Sites, in units of the cell vectors:
1 Nd 0.000 0.000 0.000
2 Nb 0.500 0.500 0.500
3 H 0.000 0.500 0.302
4 H 0.000 0.500 0.698
5 H 0.500 0.000 0.302
6 H 0.500 0.000 0.698

A geometry-optimized RbNb4HO5 structure. Source: the Open Quantum Materials Database, functional PBE-GGA.

abc: 4.210 4.210 8.209
angles: 90.00 90.00 90.00
Sites, in units of the cell vectors:
1 Rb 0.000 0.000 0.000
2 Nb 0.000 0.500 0.500
3 Nb 0.500 0.000 0.500
4 Nb 0.500 0.500 0.252
5 Nb 0.500 0.500 0.748
6 H 0.500 0.500 0.000
7 O 0.000 0.000 0.500
8 O 0.000 0.500 0.243
9 O 0.000 0.500 0.757
10 O 0.500 0.000 0.243
11 O 0.500 0.000 0.757

What are the E_tot values for these records? In order: -30.43 -89.91 eV/cell.